Material: YHoGeAu
Method: DFT, PBE
State: optimized geometry

Structure (POSCAR):
```
YHoGeAu
1.0
4.310 0.000 0.000
0.000 2.028 5.448
0.000 -2.028 5.448
Y Ho Ge Au
1 1 1 1
direct
0.000 0.000 0.000
0.500 0.722 0.722
0.000 0.274 0.274
0.500 0.445 0.445
```

Output
The mass density comes out at 9.13 Mg/m³. Its energy above the lowest structure with this stoichiometry is 0.000 eV/atom. The electronic total energy comes out at -5.607 eV/atom. As for the symmetry: Amm2, No. 38. For the total moment, the calculation gives 0.00 μB per formula unit.